Entry from Alexandria: a relaxed structure of ScTePt2 (GGA-PBE).

Energy relative to the elements, uncorrected   -0.6184 eV/atom
Crystal system   orthorhombic

a = 5.3263 Å, b = 5.3263 Å, c = 5.3263 Å
α = 137.51°, β = 131.11°, γ = 66.74°
Last column: nearest neighbours and their distance in Å.
Fractional coordinates of all 4 atoms:
Sc (0.0000, 0.0000, 0.0000)  8 Pt 2.90-3.20, 4 Te 3.00-3.08
Te (0.2586, 0.7586, 0.5000)  6 Pt 2.71-2.96, 2 Sc 3.00
Pt (0.4722, 0.4722, 0.0000)  2 Te 2.71, 2 Pt 2.88, 4 Sc 2.94
Pt (0.7125, 0.2125, 0.5000)  4 Pt 2.88-3.19, 4 Sc 2.90-3.20, 4 Te 2.96